# 1
This record from Alexandria via LeMat-Bulk describes crystalline FeTcAs6 at its relaxed geometry. The functional is PBE-GGA.

Computed properties:
The value obtained for the density of states at the Fermi level is 0.938 states/eV per atom. The theoretical density comes out at 6.485 g/cm³. The formation energy is -0.057 eV per atom. The final energy comes out at -94.37 eV for the cell shown.

a b c (Å): 7.346 7.346 8.521
angles (deg): 124.94 124.94 70.67
Fractional positions:
Fe 0.000 0.500 0.000
Fe 0.500 0.000 0.000
Tc 0.000 0.500 0.500
Tc 0.500 0.000 0.500
As 0.142 0.842 0.147
As 0.158 0.858 0.853
As 0.194 0.507 0.343
As 0.337 0.337 0.990
As 0.351 0.351 0.705
As 0.493 0.806 0.657
As 0.507 0.194 0.343
As 0.649 0.649 0.295
As 0.663 0.663 0.010
As 0.806 0.493 0.657
As 0.842 0.142 0.147
As 0.858 0.158 0.853

# 2
This record from Alexandria via LeMat-Bulk describes crystalline Nd2B2Ru2C at its relaxed geometry. The functional is PBE-GGA.

Computed properties:
The value obtained for the density of states at the Fermi level is 0.548 states/eV per atom. The theoretical density comes out at 7.655 g/cm³. The formation energy is -0.390 eV per atom. The final energy comes out at -106.80 eV for the cell shown.

a b c (Å): 10.991 3.762 6.816
angles (deg): 90.00 126.20 90.00
Fractional positions:
Nd 0.065 0.000 0.321
Nd 0.435 0.500 0.679
Nd 0.565 0.500 0.321
Nd 0.935 0.000 0.679
B 0.197 0.500 0.767
B 0.303 0.000 0.233
B 0.697 0.000 0.767
B 0.803 0.500 0.233
Ru 0.202 0.500 0.094
Ru 0.298 0.000 0.906
Ru 0.702 0.000 0.094
Ru 0.798 0.500 0.906
C 0.000 0.500 0.000
C 0.500 0.000 0.000

# 3
This record from Alexandria via LeMat-Bulk describes crystalline Ce6Ga2HN at its relaxed geometry. The functional is PBE-GGA.

Computed properties:
The value obtained for the density of states at the Fermi level is 2.130 states/eV per atom. The theoretical density comes out at 7.375 g/cm³. The final energy comes out at -58.90 eV for the cell shown.

a b c (Å): 6.818 6.818 6.818
angles (deg): 60.00 60.00 60.00
Fractional positions:
Ce 0.248 0.248 0.752
Ce 0.248 0.752 0.248
Ce 0.248 0.752 0.752
Ce 0.752 0.248 0.248
Ce 0.752 0.248 0.752
Ce 0.752 0.752 0.248
Ga 0.250 0.250 0.250
Ga 0.750 0.750 0.750
H 0.500 0.500 0.500
N 0.000 0.000 0.000

# 4
This record from Alexandria via LeMat-Bulk describes crystalline NaAgPdBr6 at its relaxed geometry. The functional is PBE-GGA.

Computed properties:
The value obtained for the density of states at the Fermi level is 0.292 states/eV per atom. The theoretical density comes out at 4.541 g/cm³. As for the uncorrected formation energy: -0.50 eV/atom. The final energy comes out at -47.72 eV for the cell shown.

a b c (Å): 6.561 6.561 12.175
angles (deg): 90.00 90.00 90.00
Fractional positions:
Na 0.000 0.000 0.000
Na 0.500 0.500 0.500
Ag 0.000 0.000 0.678
Ag 0.500 0.500 0.178
Pd 0.000 0.000 0.336
Pd 0.500 0.500 0.836
Br 0.181 0.181 0.492
Br 0.192 0.192 0.189
Br 0.223 0.223 0.828
Br 0.277 0.723 0.328
Br 0.308 0.692 0.689
Br 0.319 0.681 0.992
Br 0.681 0.319 0.992
Br 0.692 0.308 0.689
Br 0.723 0.277 0.328
Br 0.777 0.777 0.828
Br 0.808 0.808 0.189
Br 0.819 0.819 0.492

# 5
This record from Alexandria via LeMat-Bulk describes crystalline KMnCl3 at its relaxed geometry. The functional is PBE-GGA.

Computed properties:
The value obtained for the density of states at the Fermi level is 0.000 states/eV per atom. The theoretical density comes out at 2.473 g/cm³. As for the uncorrected formation energy: -1.42 eV/atom. The final energy comes out at -45.78 eV for the cell shown.

a b c (Å): 5.034 7.490 7.561
angles (deg): 90.00 109.25 90.00
Fractional positions:
K 0.195 0.250 0.394
K 0.805 0.750 0.606
Mn 0.489 0.250 0.978
Mn 0.511 0.750 0.022
Cl 0.018 0.750 0.037
Cl 0.376 0.514 0.750
Cl 0.376 0.986 0.750
Cl 0.624 0.014 0.250
Cl 0.624 0.486 0.250
Cl 0.982 0.250 0.963

# 6
This record from Alexandria via LeMat-Bulk describes crystalline Rb4Sm3GeO8 at its relaxed geometry. The functional is PBE-GGA.

Computed properties:
The value obtained for the density of states at the Fermi level is 0.104 states/eV per atom. The theoretical density comes out at 5.778 g/cm³. As for the uncorrected formation energy: -2.20 eV/atom. The final energy comes out at -97.44 eV for the cell shown.

a b c (Å): 7.741 7.741 7.741
angles (deg): 54.46 54.46 54.46
Fractional positions:
Rb 0.000 0.000 0.000
Rb 0.000 0.500 0.500
Rb 0.500 0.000 0.500
Rb 0.500 0.500 0.000
Sm 0.000 0.000 0.500
Sm 0.000 0.500 0.000
Sm 0.500 0.000 0.000
Ge 0.500 0.500 0.500
O 0.227 0.227 0.227
O 0.240 0.718 0.718
O 0.282 0.282 0.760
O 0.282 0.760 0.282
O 0.718 0.240 0.718
O 0.718 0.718 0.240
O 0.760 0.282 0.282
O 0.773 0.773 0.773

# 7
This record from Alexandria via LeMat-Bulk describes crystalline Ag3Pt2Au4 at its relaxed geometry. The functional is PBE-GGA.

Computed properties:
The value obtained for the density of states at the Fermi level is 0.448 states/eV per atom. The theoretical density comes out at 15.989 g/cm³. The formation energy is -0.002 eV per atom. The value obtained for the distance to the lowest polymorph of the same formula is 0.000 eV/f.u. The final energy comes out at -33.77 eV for the cell shown.

a b c (Å): 6.520 6.520 6.382
angles (deg): 107.10 107.10 37.20
Fractional positions:
Ag 0.000 0.000 0.000
Ag 0.112 0.112 0.669
Ag 0.888 0.888 0.331
Pt 0.330 0.330 0.997
Pt 0.670 0.670 0.003
Au 0.224 0.224 0.329
Au 0.447 0.447 0.673
Au 0.553 0.553 0.327
Au 0.776 0.776 0.671

# 8
This record from Alexandria via LeMat-Bulk describes crystalline CaEuAu at its relaxed geometry. The functional is PBE-GGA.

Computed properties:
The value obtained for the density of states at the Fermi level is 3.738 states/eV per atom. The theoretical density comes out at 5.978 g/cm³. The formation energy is -0.490 eV per atom. The value obtained for the distance to the lowest polymorph of the same formula is 0.187 eV/f.u. The final energy comes out at -17.02 eV for the cell shown.

a b c (Å): 4.307 4.307 6.726
angles (deg): 90.00 90.00 120.00
Fractional positions:
Ca 0.000 0.000 0.000
Eu 0.333 0.667 0.496
Au 0.667 0.333 0.760

# 9
This record from Alexandria via LeMat-Bulk describes crystalline Ti3VPd at its relaxed geometry. The functional is PBE-GGA.

Computed properties:
The value obtained for the density of states at the Fermi level is 1.571 states/eV per atom. The theoretical density comes out at 4.669 g/cm³. The formation energy is 0.830 eV per atom. The value obtained for the distance to the lowest polymorph of the same formula is 5.138 eV/f.u. The final energy comes out at -33.85 eV for the cell shown.

a b c (Å): 4.748 4.748 4.748
angles (deg): 90.00 90.00 90.00
Fractional positions:
Ti 0.000 0.000 0.500
Ti 0.000 0.500 0.000
Ti 0.500 0.000 0.000
V 0.500 0.500 0.500
Pd 0.000 0.000 0.000

# 10
This record from Alexandria via LeMat-Bulk describes crystalline NiAsS at its relaxed geometry. The functional is PBE-GGA.

Computed properties:
The value obtained for the density of states at the Fermi level is 0.532 states/eV per atom. The theoretical density comes out at 5.671 g/cm³. As for the uncorrected formation energy: -0.17 eV/atom. The final energy comes out at -15.07 eV for the cell shown.

a b c (Å): 3.500 3.500 4.573
angles (deg): 90.00 90.00 120.00
Fractional positions:
Ni 0.000 0.000 0.000
As 0.667 0.333 0.726
S 0.333 0.667 0.230

# 11
This record from Alexandria via LeMat-Bulk describes crystalline AlO3 at its relaxed geometry. The functional is PBE-GGA.

Computed properties:
The value obtained for the density of states at the Fermi level is 0.155 states/eV per atom. The theoretical density comes out at 1.961 g/cm³. As for the uncorrected formation energy: -0.96 eV/atom. The final energy comes out at -89.86 eV for the cell shown.

a b c (Å): 5.489 5.489 9.952
angles (deg): 100.25 100.25 59.94
Fractional positions:
Al 0.166 0.167 0.500
Al 0.167 0.166 0.000
Al 0.833 0.834 0.000
Al 0.834 0.833 0.500
O 0.056 0.479 0.405
O 0.057 0.902 0.905
O 0.098 0.943 0.595
O 0.099 0.520 0.095
O 0.479 0.056 0.905
O 0.480 0.901 0.405
O 0.520 0.099 0.595
O 0.521 0.944 0.095
O 0.901 0.480 0.905
O 0.902 0.057 0.405
O 0.943 0.098 0.095
O 0.944 0.521 0.595

# 12
This record from Alexandria via LeMat-Bulk describes crystalline Rh2W at its relaxed geometry. The functional is PBE-GGA.

Computed properties:
The value obtained for the density of states at the Fermi level is 0.522 states/eV per atom. The theoretical density comes out at 14.707 g/cm³. The formation energy is -0.261 eV per atom. The final energy comes out at -113.76 eV for the cell shown.

a b c (Å): 4.814 4.387 8.333
angles (deg): 90.00 90.00 90.00
Fractional positions:
Rh 0.157 0.250 0.171
Rh 0.166 0.250 0.508
Rh 0.334 0.750 0.008
Rh 0.343 0.750 0.671
Rh 0.657 0.250 0.329
Rh 0.666 0.250 0.992
Rh 0.834 0.750 0.492
Rh 0.843 0.750 0.829
W 0.171 0.250 0.845
W 0.329 0.750 0.345
W 0.671 0.250 0.655
W 0.829 0.750 0.155

Please write out number 1 again, unchanged.
This record from Alexandria via LeMat-Bulk describes crystalline FeTcAs6 at its relaxed geometry. The functional is PBE-GGA.

Computed properties:
The value obtained for the density of states at the Fermi level is 0.938 states/eV per atom. The theoretical density comes out at 6.485 g/cm³. The formation energy is -0.057 eV per atom. The final energy comes out at -94.37 eV for the cell shown.

a b c (Å): 7.346 7.346 8.521
angles (deg): 124.94 124.94 70.67
Fractional positions:
Fe 0.000 0.500 0.000
Fe 0.500 0.000 0.000
Tc 0.000 0.500 0.500
Tc 0.500 0.000 0.500
As 0.142 0.842 0.147
As 0.158 0.858 0.853
As 0.194 0.507 0.343
As 0.337 0.337 0.990
As 0.351 0.351 0.705
As 0.493 0.806 0.657
As 0.507 0.194 0.343
As 0.649 0.649 0.295
As 0.663 0.663 0.010
As 0.806 0.493 0.657
As 0.842 0.142 0.147
As 0.858 0.158 0.853